## PbSBr (PBE)

Data for a geometry-optimized PbSBr structure.

a b c (Å): 4.3059 6.1726 8.2183
angles (deg): 111.68 101.90 92.05
Last column: nearest neighbours and their distance in Å.
Element x y z (fractional)
Pb1 0.8157 0.3876 0.7160  3 S 2.87-3.11, 2 Br 3.00-3.17
Pb2 0.1843 0.6123 0.2840  3 S 2.87-3.11, 2 Br 3.00-3.17
S1 0.5842 0.3676 0.0448  1 S 2.12
S2 0.4158 0.6324 0.9552  1 S 2.12
Br1 0.1607 0.1994 0.3931  3 Pb 3.00-3.28
Br2 0.8393 0.8006 0.6069  3 Pb 3.00-3.28

Output
The uncorrected formation energy comes out at -0.58 eV/atom. The energy above the lowest structure with this stoichiometry is 29.6 meV/atom. The value obtained for the total DFT energy (no corrections) is -3.75 eV/atom. The value obtained for the calculated volume is 197.1 Å³/cell. Its theoretical density is 5378 kg/m³. For the spin magnetization, the calculation gives 0.00 μB/f.u. The space group is P-1 (2).



## SbPb6S3Br2 (PBE)

Data for a geometry-optimized SbPb6S3Br2 structure.

a b c (Å): 7.5850 7.5850 7.9734
angles (deg): 99.40 99.40 121.60
Last column: nearest neighbours and their distance in Å.
Element x y z (fractional)
Pb1 0.4039 0.0922 0.2781  3 S 2.94-3.27, 1 Sb 3.13, 1 Br 3.26
Pb2 0.5961 0.9078 0.7219  3 S 2.94-3.27, 1 Sb 3.13, 1 Br 3.26
Pb3 0.0922 0.4039 0.2781  3 S 2.94-3.27, 1 Sb 3.13, 1 Br 3.26
Pb4 0.7689 0.7689 0.2702  3 S 2.90-3.12, 1 Sb 3.17
Pb5 0.2311 0.2311 0.7298  3 S 2.90-3.12, 1 Sb 3.17
Pb6 0.9078 0.5961 0.7219  3 S 2.94-3.27, 1 Sb 3.13, 1 Br 3.26
S1 0.1549 0.8451 0.5000  4 Pb 2.90-2.95
S2 0.5000 0.5000 0.5000  6 Pb 2.94-3.12
S3 0.8451 0.1549 0.5000  4 Pb 2.90-2.95
Br1 0.3260 0.6740 0.0000  6 Pb 3.26-3.35
Br2 0.6740 0.3260 0.0000  6 Pb 3.26-3.35
Sb1 0.0000 0.0000 0.0000  6 Pb 3.13-3.17

Output
The uncorrected formation energy comes out at -0.43 eV/atom. The value obtained for the total DFT energy (no corrections) is -3.94 eV/atom. The value obtained for the calculated volume is 368.2 Å³/cell. Its theoretical density is 7311 kg/m³. For the spin magnetization, the calculation gives 0.00 μB/f.u. The space group is C2/m (12).



## SbPbS2Br (PBE)

Data for a geometry-optimized SbPbS2Br structure.

a b c (Å): 5.3193 7.1163 8.6960
angles (deg): 107.20 90.00 90.00
Last column: nearest neighbours and their distance in Å.
Element x y z (fractional)
S1 0.7500 0.5520 0.8499  1 Sb 2.45
S2 0.7500 0.5670 0.4135  3 Sb 2.51-2.76
S3 0.2500 0.4480 0.1501  1 Sb 2.45
S4 0.2500 0.4330 0.5865  3 Sb 2.51-2.76
Pb1 0.2500 0.7157 0.9385  4 S 2.91-3.13, 1 Br 3.05
Pb2 0.7500 0.2843 0.0615  4 S 2.91-3.13, 1 Br 3.05
Br1 0.2500 0.0609 0.7986  1 Pb 3.05
Br2 0.7500 0.9391 0.2014  1 Pb 3.05
Sb1 0.7500 0.3277 0.5753  2 S 2.45-2.51
Sb2 0.2500 0.6723 0.4247  2 S 2.45-2.51

Output
The uncorrected formation energy comes out at -0.48 eV/atom. The value obtained for the total DFT energy (no corrections) is -4.03 eV/atom. The value obtained for the calculated volume is 314.4 Å³/cell. Its theoretical density is 4996 kg/m³. For the spin magnetization, the calculation gives 0.00 μB/f.u. The space group is P2_1/m (11).



## PbSe2SBr (PBE)

Data for a geometry-optimized PbSe2SBr structure.

a b c (Å): 5.6006 5.6006 5.7354
angles (deg): 90.00 90.00 90.00
Last column: nearest neighbours and their distance in Å.
Element x y z (fractional)
Br1 0.0000 0.0000 0.5000  2 Pb 2.87
Pb1 0.0000 0.0000 0.0000  4 Se 2.80, 2 Br 2.87
Se1 0.0000 0.5000 0.0000  2 Pb 2.80
Se2 0.5000 0.0000 0.0000  2 Pb 2.80
S1 0.5000 0.5000 0.5000  4 Br 3.96, 8 Se 4.01

Output
The uncorrected formation energy comes out at 0.74 eV/atom. The energy above the lowest structure with this stoichiometry is 657.2 meV/atom. The value obtained for the total DFT energy (no corrections) is -2.56 eV/atom. The value obtained for the calculated volume is 179.9 Å³/cell. Its theoretical density is 4404 kg/m³. For the spin magnetization, the calculation gives 4.02 μB/f.u. The space group is P4/mmm (123).



## PbSe2SBr (PBE)

Data for a geometry-optimized PbSe2SBr structure.

a b c (Å): 4.9492 4.9492 5.2447
angles (deg): 90.00 90.00 90.00
Last column: nearest neighbours and their distance in Å.
Element x y z (fractional)
Br1 0.0000 0.0000 0.5000  2 S 2.62
Se1 0.0000 0.5000 0.0000  2 S 2.47
Se2 0.5000 0.0000 0.0000  2 S 2.47
S1 0.0000 0.0000 0.0000  4 Se 2.47, 2 Br 2.62
Pb1 0.5000 0.5000 0.5000  4 Br 3.50, 8 Se 3.61

Output
The uncorrected formation energy comes out at 0.08 eV/atom. The energy above the lowest structure with this stoichiometry is 0.0 meV/atom. The value obtained for the total DFT energy (no corrections) is -3.22 eV/atom. The value obtained for the calculated volume is 128.5 Å³/cell. Its theoretical density is 6167 kg/m³. For the spin magnetization, the calculation gives 0.00 μB/f.u. The space group is P4/mmm (123).



## Pb4SeS2Br (PBE)

Data for a geometry-optimized Pb4SeS2Br structure.

a b c (Å): 4.2413 7.3157 7.9380
angles (deg): 72.13 90.00 90.00
Last column: nearest neighbours and their distance in Å.
Element x y z (fractional)
S1 0.0000 0.0000 0.0000  6 Pb 3.04-3.06
S2 0.5000 0.0000 0.5000  6 Pb 2.95-2.97
Pb1 0.0000 0.2223 0.2671  3 S 2.95-3.04, 1 Se 3.14, 2 Br 3.24
Pb2 0.0000 0.7777 0.7329  3 S 2.95-3.04, 1 Se 3.14, 2 Br 3.24
Pb3 0.5000 0.7667 0.2530  3 S 2.97-3.06, 2 Se 3.13, 1 Br 3.20
Pb4 0.5000 0.2333 0.7470  3 S 2.97-3.06, 2 Se 3.13, 1 Br 3.20
Br1 0.5000 0.5000 0.0000  6 Pb 3.20-3.24
Se1 0.0000 0.5000 0.5000  6 Pb 3.13-3.14

Output
The uncorrected formation energy comes out at -0.49 eV/atom. The value obtained for the total DFT energy (no corrections) is -4.03 eV/atom. The value obtained for the calculated volume is 234.4 Å³/cell. Its theoretical density is 7451 kg/m³. For the spin magnetization, the calculation gives 0.00 μB/f.u. The space group is P2/m (10).



## Pb6Se3S2Br (PBE)

Data for a geometry-optimized Pb6Se3S2Br structure.

a b c (Å): 4.3379 8.8533 9.6429
angles (deg): 99.45 103.00 90.00
Last column: nearest neighbours and their distance in Å.
Element x y z (fractional)
Se1 0.8361 0.1654 0.6721  6 Pb 2.95-3.19
Se2 0.1639 0.8346 0.3279  6 Pb 2.95-3.19
Se3 0.5000 0.5000 0.0000  6 Pb 2.99-3.20
Pb1 0.3277 0.4168 0.6554  3 S 2.97-3.07, 3 Se 3.13-3.20
Pb2 0.9930 0.7302 0.9860  1 S 2.98, 3 Se 2.99-3.19, 2 Br 3.21
Pb3 0.0070 0.2698 0.0140  1 S 2.98, 3 Se 2.99-3.19, 2 Br 3.21
Pb4 0.6768 0.0998 0.3537  3 Se 2.95-3.18, 2 S 3.04, 1 Br 3.29
Pb5 0.3232 0.9002 0.6463  3 Se 2.95-3.18, 2 S 3.04, 1 Br 3.29
Pb6 0.6723 0.5832 0.3446  3 S 2.97-3.07, 3 Se 3.13-3.20
S1 0.8324 0.6631 0.6647  6 Pb 2.97-3.07
S2 0.1676 0.3369 0.3353  6 Pb 2.97-3.07
Br1 0.5000 0.0000 0.0000  6 Pb 3.21-3.29

Output
The uncorrected formation energy comes out at -0.52 eV/atom. The value obtained for the total DFT energy (no corrections) is -4.07 eV/atom. The value obtained for the calculated volume is 355.7 Å³/cell. Its theoretical density is 7582 kg/m³. For the spin magnetization, the calculation gives 0.00 μB/f.u. The space group is C2/m (12).



## SnPbSBr2 (PBE)

Data for a geometry-optimized SnPbSBr2 structure.

a b c (Å): 4.2728 7.4606 10.4048
angles (deg): 90.00 90.00 106.64
Last column: nearest neighbours and their distance in Å.
Element x y z (fractional)
Br1 0.6455 0.2909 0.9426  2 Sn 3.04, 1 Pb 3.30
Br2 0.3545 0.7091 0.4426  2 Sn 3.04, 1 Pb 3.30
Br3 0.3545 0.7091 0.0574  2 Sn 3.04, 1 Pb 3.30
Br4 0.6455 0.2909 0.5574  2 Sn 3.04, 1 Pb 3.30
S1 0.0805 0.1610 0.2500  2 Pb 2.76, 2 Sn 2.84
S2 0.9195 0.8390 0.7500  2 Pb 2.76, 2 Sn 2.84
Pb1 0.7023 0.4045 0.2500  2 S 2.76
Pb2 0.2977 0.5955 0.7500  2 S 2.76
Sn1 0.0000 0.0000 0.5000  2 S 2.84, 4 Br 3.04
Sn2 0.0000 0.0000 0.0000  2 S 2.84, 4 Br 3.04

Output
The uncorrected formation energy comes out at -0.66 eV/atom. The value obtained for the total DFT energy (no corrections) is -3.70 eV/atom. The value obtained for the calculated volume is 317.8 Å³/cell. Its theoretical density is 5411 kg/m³. For the spin magnetization, the calculation gives 0.00 μB/f.u. The space group is Cmcm (63).